Entry 1:
{
  "formula": "Be2HgAs",
  "functional": "GGA-PBE",
  "state": "relaxed",
  "sg": "Cmm2, No. 35",
  "final_energy_ev_per_atom": -2.683,
  "delta_e_f_ev_per_atom": 0.418,
  "lattice": [[-1.644, -0.271, 2.578], [-2.221, -0.116, -2.115], [0.675, -7.130, -0.318]],
  "species": ["As", "Be", "Hg", "Be"],
  "frac_coords": [[0.500, 0.500, 0.865], [0.500, 0.500, 0.192], [0.000, 0.000, 0.411], [0.000, 0.000, 0.032]]
}

=====

Entry 2:
{
  "formula": "V3Os2Rh",
  "functional": "GGA-PBE",
  "state": "relaxed",
  "sg": "P2/m, No. 10",
  "final_energy_ev_per_atom": -9.778,
  "delta_e_f_ev_per_atom": -0.250,
  "lattice": [[4.414, -0.279, 0.017], [1.771, 6.389, 0.007], [-0.023, 0.000, 5.801]],
  "species": ["V", "Rh", "Os", "Os", "Rh", "V", "Os", "V", "Os", "V", "V", "V"],
  "frac_coords": [[0.209, 0.685, 0.746], [0.277, 0.354, 0.000], [0.000, 0.000, 0.500], [0.711, 0.652, 0.500], [0.723, 0.646, 0.000], [0.791, 0.315, 0.746], [0.000, 0.000, 0.000], [0.791, 0.315, 0.254], [0.289, 0.348, 0.500], [0.500, 0.000, 0.248], [0.500, 0.000, 0.752], [0.209, 0.685, 0.254]]
}

=====

Entry 3:
{
  "formula": "PmPa2Ge",
  "functional": "GGA-PBE",
  "state": "relaxed",
  "sg": "P4/mmm, No. 123",
  "final_energy_ev_per_atom": -7.247,
  "delta_e_f_ev_per_atom": -0.157,
  "lattice": [[5.019, 0.000, 0.000], [0.000, 4.385, 0.000], [0.000, 0.000, 4.385]],
  "species": ["Pm", "Pa", "Pa", "Ge"],
  "frac_coords": [[0.500, 0.500, 0.500], [0.000, 0.000, 0.500], [0.000, 0.500, 0.000], [0.500, 0.000, 0.000]]
}